MnFeOs2 | PBE | relaxed Values from VASP.

Computed properties:
DOS(E_F) in states/eV per cell: 3.77
Energy of formation from the pure elements in meV/atom: 196
Calculated volume in Å³ per atom: 13.13

The structure in Quantum ESPRESSO input format:
```
&SYSTEM
  ibrav = 0, nat = 4, ntyp = 3
/
ATOMIC_SPECIES
Mn 54.94 Mn.upf
Fe 55.84 Fe.upf
Os 190.23 Os.upf
ATOMIC_POSITIONS angstrom
Mn 0.000 0.000 0.000
Fe 0.000 0.000 6.433
Os 0.000 0.000 12.801
Os 0.000 0.000 18.946
CELL_PARAMETERS angstrom
1.339 0.773 8.456
-1.339 0.773 8.456
0.000 -1.546 8.456
```

ZrInSi2 | PBE | relaxed Values from VASP.

Computed properties:
DOS(E_F) in states/eV per cell: 2.35
E_form (uncorrected) in kJ/mol of atoms: -17
Calculated volume in Å³ per atom: 19.51

The structure in Quantum ESPRESSO input format:
```
&SYSTEM
  ibrav = 0, nat = 4, ntyp = 3
/
ATOMIC_SPECIES
Zr 91.22 Zr.upf
In 114.82 In.upf
Si 28.09 Si.upf
ATOMIC_POSITIONS angstrom
Zr 0.000 0.000 0.000
In -0.040 0.000 2.964
Si 1.752 1.804 4.692
Si 1.815 1.804 1.237
CELL_PARAMETERS angstrom
3.647 0.000 0.000
0.000 3.609 0.000
-0.080 0.000 5.928
```

Pt2NF | PBE | relaxed Values from VASP.

Computed properties:
DOS(E_F) in states/eV per cell: 2.66
E_form (uncorrected) in kJ/mol of atoms: 92
Calculated volume in Å³ per atom: 11.94
Energy above the most stable polymorph in this dataset in meV per atom: 679

The structure in Quantum ESPRESSO input format:
```
&SYSTEM
  ibrav = 0, nat = 4, ntyp = 3
/
ATOMIC_SPECIES
Pt 195.08 Pt.upf
N 14.01 N.upf
F 19.00 F.upf
ATOMIC_POSITIONS angstrom
Pt 1.440 1.440 1.440
Pt 4.319 4.319 4.319
N 0.000 0.000 0.000
F 2.879 2.879 2.879
CELL_PARAMETERS angstrom
0.000 2.879 2.879
2.879 0.000 2.879
2.879 2.879 0.000
```

AlTl2Hg | PBE | relaxed Values from VASP.

Computed properties:
DOS(E_F) in states/eV per cell: 1.75
Energy of formation from the pure elements in meV/atom: 170
Calculated volume in Å³ per atom: 27.20
Energy above the most stable polymorph in this dataset in meV per atom: 54

The structure in Quantum ESPRESSO input format:
```
&SYSTEM
  ibrav = 0, nat = 4, ntyp = 3
/
ATOMIC_SPECIES
Al 26.98 Al.upf
Tl 204.38 Tl.upf
Hg 200.59 Hg.upf
ATOMIC_POSITIONS angstrom
Al 0.000 0.000 0.000
Tl 1.855 0.000 2.484
Tl 1.855 0.000 8.374
Hg 0.000 0.000 5.429
CELL_PARAMETERS angstrom
1.855 -2.701 0.000
1.855 2.701 0.000
0.000 0.000 10.858
```

TaTcH2Pt | PBE | relaxed Values from VASP.

Computed properties:
DOS(E_F) in states/eV per cell: 3.08
Calculated total energy in eV per atom: -6.367
Calculated volume in Å³ per atom: 13.38

The structure in Quantum ESPRESSO input format:
```
&SYSTEM
  ibrav = 0, nat = 5, ntyp = 4
/
ATOMIC_SPECIES
Ta 180.95 Ta.upf
Tc 98.00 Tc.upf
H 1.01 H.upf
Pt 195.08 Pt.upf
ATOMIC_POSITIONS angstrom
Ta 0.000 0.000 0.000
Tc 0.000 0.000 2.497
H 0.000 1.830 0.000
H 1.830 0.000 0.000
Pt 1.830 1.830 2.497
CELL_PARAMETERS angstrom
3.660 0.000 0.000
0.000 3.660 0.000
0.000 0.000 4.994
```

FeNi2Pt2 | PBE | relaxed Values from VASP.

Computed properties:
DOS(E_F) in states/eV per cell: 5.76
Energy of formation from the pure elements in meV/atom: 182
Calculated volume in Å³ per atom: 15.02
Energy above the most stable polymorph in this dataset in meV per atom: 203

The structure in Quantum ESPRESSO input format:
```
&SYSTEM
  ibrav = 0, nat = 5, ntyp = 3
/
ATOMIC_SPECIES
Fe 55.84 Fe.upf
Ni 58.69 Ni.upf
Pt 195.08 Pt.upf
ATOMIC_POSITIONS angstrom
Fe 0.000 0.000 0.000
Ni 2.156 2.191 2.626
Ni 2.156 -2.191 2.626
Pt 2.156 0.000 1.311
Pt 2.156 0.000 3.941
CELL_PARAMETERS angstrom
2.156 -3.316 0.000
2.156 3.316 0.000
0.000 0.000 5.252
```

Hf2GaBH | PBE | relaxed Values from VASP.

Computed properties:
DOS(E_F) in states/eV per cell: 1.89
Calculated total energy in eV per atom: -6.478
Calculated volume in Å³ per atom: 13.18

The structure in Quantum ESPRESSO input format:
```
&SYSTEM
  ibrav = 0, nat = 5, ntyp = 4
/
ATOMIC_SPECIES
Hf 178.49 Hf.upf
Ga 69.72 Ga.upf
B 10.81 B.upf
H 1.01 H.upf
ATOMIC_POSITIONS angstrom
Hf 0.000 2.126 0.000
Hf 2.126 0.000 0.000
Ga 0.000 0.000 1.822
B 2.126 2.126 1.822
H 2.126 2.126 0.000
CELL_PARAMETERS angstrom
4.252 0.000 0.000
0.000 4.252 0.000
0.000 0.000 3.644
```

La3Nd3Sm4 | PBE | relaxed Values from VASP.

Computed properties:
DOS(E_F) in states/eV per cell: 12.75
Energy of formation from the pure elements in meV/atom: 91
Calculated volume in Å³ per atom: 36.17

The structure in Quantum ESPRESSO input format:
```
&SYSTEM
  ibrav = 0, nat = 10, ntyp = 3
/
ATOMIC_SPECIES
La 138.91 La.upf
Nd 144.24 Nd.upf
Sm 150.36 Sm.upf
ATOMIC_POSITIONS angstrom
La 0.000 0.000 0.000
La 1.888 -3.443 7.979
La 1.888 3.443 7.979
Nd 0.000 -2.398 4.519
Nd 0.000 2.398 4.519
Nd 0.000 0.000 9.031
Sm 1.888 0.000 2.803
Sm 1.888 0.000 6.241
Sm 1.888 -1.735 11.405
Sm 1.888 1.735 11.405
CELL_PARAMETERS angstrom
3.775 0.000 0.000
0.000 6.930 6.913
0.000 -6.930 6.913
```

Cs5BiO | PBE | relaxed Values from VASP.

Computed properties:
DOS(E_F) in states/eV per cell: 4.60
E_form (uncorrected) in kJ/mol of atoms: -58
Calculated volume in Å³ per atom: 49.38

The structure in Quantum ESPRESSO input format:
```
&SYSTEM
  ibrav = 0, nat = 14, ntyp = 3
/
ATOMIC_SPECIES
Cs 132.91 Cs.upf
Bi 208.98 Bi.upf
O 16.00 O.upf
ATOMIC_POSITIONS angstrom
Cs 3.043 4.142 8.594
Cs 2.766 2.113 4.898
Cs -0.022 2.066 10.657
Cs 8.950 2.113 0.832
Cs 6.109 2.066 6.532
Cs 2.792 -2.066 4.927
Cs -0.049 -2.113 10.627
Cs 8.924 -2.066 0.803
Cs 6.136 -2.113 6.561
Cs 5.858 -4.142 2.865
Bi 5.858 0.001 2.865
Bi 3.043 -0.001 8.594
O 0.000 0.000 0.000
O -2.815 0.000 5.730
CELL_PARAMETERS angstrom
7.265 -4.152 0.000
7.265 4.152 0.000
-5.629 0.000 11.459
```

Li2SmHgPd2 | PBE | relaxed Values from VASP.

Computed properties:
DOS(E_F) in states/eV per cell: 2.00
Energy of formation from the pure elements in meV/atom: -522
Calculated volume in Å³ per atom: 18.72

The structure in Quantum ESPRESSO input format:
```
&SYSTEM
  ibrav = 0, nat = 6, ntyp = 4
/
ATOMIC_SPECIES
Li 6.94 Li.upf
Sm 150.36 Sm.upf
Hg 200.59 Hg.upf
Pd 106.42 Pd.upf
ATOMIC_POSITIONS angstrom
Li 0.000 2.553 1.029
Li 2.211 1.276 5.605
Sm 0.000 0.000 3.317
Hg 0.000 0.000 0.000
Pd 0.000 2.553 4.933
Pd 2.211 1.276 1.701
CELL_PARAMETERS angstrom
4.422 0.000 0.000
-2.211 3.829 0.000
0.000 0.000 6.634
```

LiYAu2 | PBE | relaxed Values from VASP.

Computed properties:
DOS(E_F) in states/eV per cell: 2.11
Energy of formation from the pure elements in meV/atom: -530
Calculated volume in Å³ per atom: 21.03
Energy above the most stable polymorph in this dataset in meV per atom: 189

The structure in Quantum ESPRESSO input format:
```
&SYSTEM
  ibrav = 0, nat = 4, ntyp = 3
/
ATOMIC_SPECIES
Li 6.94 Li.upf
Y 88.91 Y.upf
Au 196.97 Au.upf
ATOMIC_POSITIONS angstrom
Li 0.000 0.000 0.000
Y 1.868 1.868 2.139
Au 0.000 0.000 3.427
Au 1.868 1.868 5.217
CELL_PARAMETERS angstrom
3.735 0.000 0.000
0.000 3.735 0.000
0.000 0.000 6.029
```

CuAsCl2 | PBE | relaxed Values from VASP.

Computed properties:
DOS(E_F) in states/eV per cell: 1.68
E_form (uncorrected) in kJ/mol of atoms: 2
Calculated volume in Å³ per atom: 20.92
Energy above the most stable polymorph in this dataset in meV per atom: 370

The structure in Quantum ESPRESSO input format:
```
&SYSTEM
  ibrav = 0, nat = 4, ntyp = 3
/
ATOMIC_SPECIES
Cu 63.55 Cu.upf
As 74.92 As.upf
Cl 35.45 Cl.upf
ATOMIC_POSITIONS angstrom
Cu 0.000 0.000 0.000
As -0.345 0.000 4.063
Cl -0.409 1.598 6.470
Cl 2.941 1.598 1.657
CELL_PARAMETERS angstrom
3.222 0.000 0.000
0.000 3.196 0.000
-0.691 0.000 8.127
```

Sr3Co2N4 | PBE | relaxed Values from VASP.

Computed properties:
DOS(E_F) in states/eV per cell: 11.30
E_form (uncorrected) in kJ/mol of atoms: -30
Calculated volume in Å³ per atom: 14.80

The structure in Quantum ESPRESSO input format:
```
&SYSTEM
  ibrav = 0, nat = 18, ntyp = 3
/
ATOMIC_SPECIES
Sr 87.62 Sr.upf
Co 58.93 Co.upf
N 14.01 N.upf
ATOMIC_POSITIONS angstrom
Sr 5.241 3.502 4.158
Sr 3.974 1.164 2.455
Sr 6.947 1.164 0.317
Sr 3.755 -1.164 5.227
Sr 6.727 -1.164 3.089
Sr 5.460 -3.502 1.386
Co 1.935 1.098 5.139
Co 2.155 -1.098 2.366
Co 8.547 1.098 3.178
Co 8.766 -1.098 0.406
N 1.690 0.496 3.357
N 3.745 1.624 5.381
N 1.910 -0.496 0.585
N 6.737 1.624 2.936
N 3.965 -1.624 2.609
N 8.792 0.496 4.959
N 6.956 -1.624 0.164
N 9.011 -0.496 2.187
CELL_PARAMETERS angstrom
5.570 -4.314 0.000
5.570 4.314 0.000
-0.439 0.000 5.545
```

Tb3Ce2Bi3 | PBE | relaxed Values from VASP.

Computed properties:
DOS(E_F) in states/eV per cell: 29.66
Energy of formation from the pure elements in meV/atom: -673
Calculated volume in Å³ per atom: 30.26

The structure in Quantum ESPRESSO input format:
```
&SYSTEM
  ibrav = 0, nat = 16, ntyp = 3
/
ATOMIC_SPECIES
Tb 158.93 Tb.upf
Ce 140.12 Ce.upf
Bi 208.98 Bi.upf
ATOMIC_POSITIONS angstrom
Tb -1.168 2.024 1.584
Tb -3.528 6.111 4.753
Tb 2.337 0.000 1.584
Tb 1.168 2.024 4.753
Tb 7.056 0.000 4.753
Tb 3.528 6.111 1.584
Ce 0.000 5.423 0.000
Ce 0.000 5.423 3.169
Ce 4.696 2.711 0.000
Ce 4.696 2.711 3.169
Bi -1.792 3.104 4.753
Bi -2.904 5.030 1.584
Bi 3.585 0.000 4.753
Bi 1.792 3.104 1.584
Bi 5.808 0.000 1.584
Bi 2.904 5.030 4.753
CELL_PARAMETERS angstrom
9.393 0.000 0.000
-4.696 8.134 0.000
0.000 0.000 6.337
```

Tb12PmPr7 | PBE | relaxed Values from VASP.

Computed properties:
DOS(E_F) in states/eV per cell: 37.02
Energy of formation from the pure elements in meV/atom: 225
Calculated volume in Å³ per atom: 34.56
Energy above the most stable polymorph in this dataset in meV per atom: 0

The structure in Quantum ESPRESSO input format:
```
&SYSTEM
  ibrav = 0, nat = 20, ntyp = 3
/
ATOMIC_SPECIES
Tb 158.93 Tb.upf
Pm 145.00 Pm.upf
Pr 140.91 Pr.upf
ATOMIC_POSITIONS angstrom
Tb -5.316 0.539 6.817
Tb -3.125 -4.334 9.505
Tb -0.781 -3.248 7.246
Tb -3.203 -0.947 9.075
Tb -2.422 2.300 7.246
Tb 2.191 -4.874 6.817
Tb -2.191 4.874 9.505
Tb 2.422 -2.300 9.075
Tb 3.203 0.947 7.246
Tb 0.781 3.248 9.075
Tb 3.125 4.334 6.817
Tb 5.316 -0.539 9.505
Pm 0.000 0.000 8.161
Pr 0.000 0.000 0.000
Pr -1.935 -0.579 4.717
Pr 1.469 -1.387 4.717
Pr 0.466 1.966 4.717
Pr -0.466 -1.966 11.605
Pr -1.469 1.387 11.605
Pr 1.935 0.579 11.605
CELL_PARAMETERS angstrom
6.056 3.497 5.441
-6.056 3.497 5.441
0.000 -6.993 5.441
```

CaAcAsH2 | PBE | relaxed Values from VASP.

Computed properties:
DOS(E_F) in states/eV per cell: 0.09
Calculated total energy in eV per atom: -4.423
Calculated volume in Å³ per atom: 19.44

The structure in Quantum ESPRESSO input format:
```
&SYSTEM
  ibrav = 0, nat = 10, ntyp = 4
/
ATOMIC_SPECIES
Ca 40.08 Ca.upf
Ac 227.00 Ac.upf
As 74.92 As.upf
H 1.01 H.upf
ATOMIC_POSITIONS angstrom
Ca 0.000 0.000 0.000
Ca 0.000 0.000 3.763
Ac 2.115 2.802 5.645
Ac 2.115 -2.802 1.882
As 2.115 0.830 1.882
As 2.115 -0.830 5.645
H 2.115 3.860 0.519
H 2.115 3.860 3.245
H 2.115 -3.860 4.282
H 2.115 -3.860 7.008
CELL_PARAMETERS angstrom
2.115 -6.106 0.000
2.115 6.106 0.000
0.000 0.000 7.527
```

Ce9Tl2Hg | PBE | relaxed Values from VASP.

Computed properties:
DOS(E_F) in states/eV per cell: 38.38
Energy of formation from the pure elements in meV/atom: -109
Calculated volume in Å³ per atom: 27.78

The structure in Quantum ESPRESSO input format:
```
&SYSTEM
  ibrav = 0, nat = 12, ntyp = 3
/
ATOMIC_SPECIES
Ce 140.12 Ce.upf
Tl 204.38 Tl.upf
Hg 200.59 Hg.upf
ATOMIC_POSITIONS angstrom
Ce 0.000 0.000 0.000
Ce 0.000 0.000 4.757
Ce 0.000 0.000 9.641
Ce 0.000 2.406 2.370
Ce 0.000 2.406 7.199
Ce 0.000 2.406 12.028
Ce 2.406 0.000 2.370
Ce 2.406 0.000 7.199
Ce 2.406 0.000 12.028
Tl 2.406 2.406 4.782
Tl 2.406 2.406 9.616
Hg 2.406 2.406 0.000
CELL_PARAMETERS angstrom
4.812 0.000 0.000
0.000 4.812 0.000
0.000 0.000 14.398
```

PmSm3Th2Bi6 | PBE | relaxed Values from VASP.

Computed properties:
DOS(E_F) in states/eV per cell: 5.07
Energy of formation from the pure elements in meV/atom: -819
Calculated volume in Å³ per atom: 33.87

The structure in Quantum ESPRESSO input format:
```
&SYSTEM
  ibrav = 0, nat = 12, ntyp = 4
/
ATOMIC_SPECIES
Pm 145.00 Pm.upf
Sm 150.36 Sm.upf
Th 232.04 Th.upf
Bi 208.98 Bi.upf
ATOMIC_POSITIONS angstrom
Pm 0.000 0.000 0.000
Sm -1.043 0.000 4.450
Sm 6.314 0.000 1.480
Sm 11.536 0.000 7.419
Th 5.278 0.000 5.954
Th 12.573 0.000 2.945
Bi 3.162 0.000 0.724
Bi 2.100 0.000 5.202
Bi 9.431 0.000 2.233
Bi 8.419 0.000 6.666
Bi 15.750 0.000 3.697
Bi 14.688 0.000 8.175
CELL_PARAMETERS angstrom
9.969 -2.291 0.000
9.969 2.291 0.000
-2.087 0.000 8.899
```

Zr12Sb3H5 | PBE | relaxed Values from VASP.

Computed properties:
DOS(E_F) in states/eV per cell: 104.44
Calculated total energy in eV per atom: -6.802
Calculated volume in Å³ per atom: 18.86

The structure in Quantum ESPRESSO input format:
```
&SYSTEM
  ibrav = 0, nat = 80, ntyp = 3
/
ATOMIC_SPECIES
Zr 91.22 Zr.upf
Sb 121.76 Sb.upf
H 1.01 H.upf
ATOMIC_POSITIONS angstrom
Zr 2.096 -0.580 0.710
Zr 8.742 4.322 -4.193
Zr 9.322 0.580 0.710
Zr 8.742 -2.903 4.193
Zr 6.645 -0.710 2.096
Zr 11.418 -1.517 2.903
Zr 0.710 2.096 -0.580
Zr 10.128 3.032 -1.517
Zr 4.322 4.193 -1.517
Zr 6.516 2.096 0.580
Zr -0.580 0.710 2.096
Zr 4.193 -1.517 4.322
Zr 6.645 6.516 -2.096
Zr 4.193 1.517 2.903
Zr 4.322 -4.193 8.742
Zr 6.516 -2.096 6.645
Zr 2.903 4.193 1.517
Zr 7.935 5.129 0.580
Zr 4.193 8.742 -2.903
Zr 6.645 0.710 5.129
Zr 2.096 6.645 -0.710
Zr 8.742 2.903 3.032
Zr 1.517 2.903 4.193
Zr 2.096 0.580 6.516
Zr 5.129 6.645 0.710
Zr 5.709 4.322 3.032
Zr -1.517 4.322 4.193
Zr 5.129 0.580 7.935
Zr 0.580 6.516 2.096
Zr 3.032 -1.517 10.128
Zr -0.710 2.096 6.645
Zr 4.322 3.032 5.709
Zr 0.710 9.322 0.580
Zr 2.903 11.418 -1.517
Zr 3.032 5.709 4.322
Zr 0.580 0.710 9.322
Zr 3.032 8.742 2.903
Zr 7.806 6.516 5.129
Zr 0.710 5.129 6.645
Zr 2.903 3.032 8.742
Zr -2.903 4.193 8.742
Zr 6.516 5.129 7.806
Zr -4.193 8.742 4.322
Zr 0.580 7.935 5.129
Zr -1.517 10.128 3.032
Zr -2.096 6.645 6.516
Zr -1.517 2.903 11.418
Zr 5.129 7.806 6.516
Sb 3.613 1.806 0.000
Sb 7.225 3.613 -1.806
Sb 1.806 0.000 3.613
Sb 9.032 0.000 3.613
Sb 0.000 3.613 1.806
Sb 3.613 -1.806 7.225
Sb 3.613 9.032 0.000
Sb 7.225 3.613 5.419
Sb -1.806 7.225 3.613
Sb 5.419 7.225 3.613
Sb 0.000 3.613 9.032
Sb 3.613 5.419 7.225
H 0.000 0.000 0.000
H 3.613 3.613 -3.613
H 3.613 -3.613 3.613
H 7.225 0.000 0.000
H 10.838 1.806 0.000
H 7.225 -3.613 5.419
H 5.419 7.225 -3.613
H 5.419 0.000 3.613
H 3.613 5.419 0.000
H 7.225 3.613 1.806
H -3.613 3.613 3.613
H 0.000 7.225 0.000
H 0.000 0.000 7.225
H 3.613 3.613 3.613
H 0.000 3.613 5.419
H 3.613 1.806 7.225
H 1.806 7.225 3.613
H 1.806 0.000 10.838
H 0.000 10.838 1.806
H -3.613 5.419 7.225
CELL_PARAMETERS angstrom
-7.225 7.225 7.225
7.225 -7.225 7.225
7.225 7.225 -7.225
```

V2Co2Pb | PBE | relaxed Values from VASP.

Computed properties:
DOS(E_F) in states/eV per cell: 4.35
Energy of formation from the pure elements in meV/atom: 180
Calculated volume in Å³ per atom: 15.22

The structure in Quantum ESPRESSO input format:
```
&SYSTEM
  ibrav = 0, nat = 5, ntyp = 3
/
ATOMIC_SPECIES
V 50.94 V.upf
Co 58.93 Co.upf
Pb 207.20 Pb.upf
ATOMIC_POSITIONS angstrom
V 1.973 0.000 2.444
V 0.000 1.973 2.444
Co 0.000 0.000 1.168
Co 0.000 0.000 8.610
Pb 0.000 0.000 4.889
CELL_PARAMETERS angstrom
-1.973 1.973 4.889
1.973 -1.973 4.889
1.973 1.973 -4.889
```